No. 1
Below is TlCuBr at its PBEsol-relaxed geometry, with properties calculated at the meta-GGA SCAN level.

```
3
Lattice="3.366 0.000 0.000 0.000 3.366 0.000 -1.683 -1.683 5.849" Properties=species:S:1:pos:R:3 pbc="T T T"
Br 0.000 0.000 0.474
Cu 1.683 1.683 1.799
Tl 0.000 0.000 3.576
```

## Properties
**Magnetization**: 0.000 μB/atom
**Formation energy without anion corrections**: 0.03 eV per atom
**Energy above the lowest structure with this stoichiometry**: 180.9 meV per atom



No. 2
Below is RuPtSe2 at its PBEsol-relaxed geometry, with properties calculated at the meta-GGA SCAN level.

```
8
Lattice="5.482 0.000 0.000 0.000 5.482 0.000 -2.741 -2.741 5.609" Properties=species:S:1:pos:R:3 pbc="T T T"
Ru 2.741 0.000 2.805
Ru 2.741 2.741 0.000
Se 1.449 4.112 1.402
Se 4.033 1.371 1.402
Se -1.371 -1.292 4.207
Se 1.371 1.292 4.207
Pt 0.000 2.741 2.805
Pt 0.000 0.000 0.000
```

## Properties
**Magnetization**: 0.000 μB/atom
**Formation energy without anion corrections**: 0.05 eV per atom
**Energy above the lowest structure with this stoichiometry**: 0.0 meV per atom



no.,density of states at the Fermi level (states/eV per cell)
1,0.813
2,5.368